Record 1
Cr2SiSeBr | PBE | relaxed

Values from the calculation:
ΔE_f (raw)   0.77 eV/atom
DOS at the Fermi energy   4.872 states/eV per cell

```
data_Cr2SiSeBr
_space_group_name_H-M_alt 'P 4/m m m'
_space_group_IT_number 123
_space_group_name_Hall '-P 4 2'
_cell_length_a 4.927
_cell_length_b 4.927
_cell_length_c 4.797
_cell_angle_alpha 90.00
_cell_angle_beta 90.00
_cell_angle_gamma 90.00
loop_
_atom_site_label
_atom_site_type_symbol
_atom_site_fract_x
_atom_site_fract_y
_atom_site_fract_z
Cr1 Cr 0.000 0.500 0.000
Si1 Si 0.000 0.000 0.000
Se1 Se 0.500 0.500 0.500
Br1 Br 0.000 0.000 0.500
```

---

Record 2
Li2MnSe | PBE | relaxed

Values from the calculation:
ΔE_f (raw)   -0.10 eV/atom
DOS at the Fermi energy   2.295 states/eV per cell

```
data_Li2MnSe
_space_group_name_H-M_alt 'P 4 m m'
_space_group_IT_number 99
_space_group_name_Hall 'P 4 -2'
_cell_length_a 3.123
_cell_length_b 3.123
_cell_length_c 5.858
_cell_angle_alpha 90.00
_cell_angle_beta 90.00
_cell_angle_gamma 90.00
loop_
_atom_site_label
_atom_site_type_symbol
_atom_site_fract_x
_atom_site_fract_y
_atom_site_fract_z
Li1 Li 0.000 0.000 0.000
Li2 Li 0.500 0.500 0.284
Mn1 Mn 0.000 0.000 0.540
Se1 Se 0.500 0.500 0.719
```

---

Record 3
GdDyBeCo | PBE | relaxed

Values from the calculation:
DOS at the Fermi energy   10.920 states/eV per cell
ΔE_f   -0.006 eV/atom

```
data_GdDyBeCo
_space_group_name_H-M_alt 'F -4 3 m'
_space_group_IT_number 216
_space_group_name_Hall 'F -4 2 3'
_cell_length_a 6.771
_cell_length_b 6.771
_cell_length_c 6.771
_cell_angle_alpha 90.00
_cell_angle_beta 90.00
_cell_angle_gamma 90.00
loop_
_atom_site_label
_atom_site_type_symbol
_atom_site_fract_x
_atom_site_fract_y
_atom_site_fract_z
Gd1 Gd 0.000 0.000 0.000
Dy1 Dy 0.000 0.000 0.500
Be1 Be 0.250 0.250 0.750
Co1 Co 0.250 0.250 0.250
```

---

Record 4
TlSb3Br | PBE | relaxed

Values from the calculation:
ΔE_f (raw)   0.84 eV/atom
DOS at the Fermi energy   5.867 states/eV per cell

```
data_TlSb3Br
_space_group_name_H-M_alt 'P m -3 m'
_space_group_IT_number 221
_space_group_name_Hall '-P 4 2 3'
_cell_length_a 5.752
_cell_length_b 5.752
_cell_length_c 5.752
_cell_angle_alpha 90.00
_cell_angle_beta 90.00
_cell_angle_gamma 90.00
loop_
_atom_site_label
_atom_site_type_symbol
_atom_site_fract_x
_atom_site_fract_y
_atom_site_fract_z
Tl1 Tl 0.000 0.000 0.000
Sb1 Sb 0.000 0.000 0.500
Br1 Br 0.500 0.500 0.500
```